1.
# CrSiHg4 (SCAN, PBEsol geometry)
data_CrSiHg4
_space_group_name_H-M_alt 'F -4 3 m'
_space_group_IT_number 216
_space_group_name_Hall 'F -4 2 3'
_cell_length_a 8.023
_cell_length_b 8.023
_cell_length_c 8.023
_cell_angle_alpha 90.00
_cell_angle_beta 90.00
_cell_angle_gamma 90.00
loop_
_atom_site_label
_atom_site_fract_x
_atom_site_fract_y
_atom_site_fract_z
Cr1 0.000 0.000 0.000
Si1 0.250 0.250 0.750
Hg1 0.125 0.125 0.375
# Formation energy (no corrections) ... 0.62 eV/atom

***

2.
# Cr3SnHg (SCAN, PBEsol geometry)
data_Cr3SnHg
_space_group_name_H-M_alt 'P m -3 m'
_space_group_IT_number 221
_space_group_name_Hall '-P 4 2 3'
_cell_length_a 5.001
_cell_length_b 5.001
_cell_length_c 5.001
_cell_angle_alpha 90.00
_cell_angle_beta 90.00
_cell_angle_gamma 90.00
loop_
_atom_site_label
_atom_site_fract_x
_atom_site_fract_y
_atom_site_fract_z
Cr1 0.000 0.000 0.500
Sn1 0.500 0.500 0.500
Hg1 0.000 0.000 0.000
# Calculated formation energy ... 1001 meV per atom

***

3.
# TaCr2SnHg (SCAN, PBEsol geometry)
data_TaCr2SnHg
_space_group_name_H-M_alt 'P 4/m m m'
_space_group_IT_number 123
_space_group_name_Hall '-P 4 2'
_cell_length_a 4.657
_cell_length_b 4.657
_cell_length_c 5.311
_cell_angle_alpha 90.00
_cell_angle_beta 90.00
_cell_angle_gamma 90.00
loop_
_atom_site_label
_atom_site_fract_x
_atom_site_fract_y
_atom_site_fract_z
Ta1 0.000 0.000 0.000
Cr1 0.000 0.500 0.000
Sn1 0.500 0.500 0.500
Hg1 0.000 0.000 0.500
# Calculated formation energy ... 1232 meV per atom

***

4.
# SrCrHg (SCAN, PBEsol geometry)
data_SrCrHg
_space_group_name_H-M_alt 'F -4 3 m'
_space_group_IT_number 216
_space_group_name_Hall 'F -4 2 3'
_cell_length_a 7.312
_cell_length_b 7.312
_cell_length_c 7.312
_cell_angle_alpha 90.00
_cell_angle_beta 90.00
_cell_angle_gamma 90.00
loop_
_atom_site_label
_atom_site_fract_x
_atom_site_fract_y
_atom_site_fract_z
Sr1 0.000 0.000 0.000
Cr1 0.250 0.250 0.250
Hg1 0.250 0.250 0.750
# Calculated formation energy ... 432 meV per atom

***

5.
# SrCr3Hg (SCAN, PBEsol geometry)
data_SrCr3Hg
_space_group_name_H-M_alt 'P m -3 m'
_space_group_IT_number 221
_space_group_name_Hall '-P 4 2 3'
_cell_length_a 5.154
_cell_length_b 5.154
_cell_length_c 5.154
_cell_angle_alpha 90.00
_cell_angle_beta 90.00
_cell_angle_gamma 90.00
loop_
_atom_site_label
_atom_site_fract_x
_atom_site_fract_y
_atom_site_fract_z
Sr1 0.000 0.000 0.000
Cr1 0.000 0.500 0.500
Hg1 0.500 0.500 0.500
# Calculated formation energy ... 675 meV per atom

***

6.
# SrCrHg2 (SCAN, PBEsol geometry)
data_SrCrHg2
_space_group_name_H-M_alt 'P 4 m m'
_space_group_IT_number 99
_cell_length_a 3.750
_cell_length_b 3.750
_cell_length_c 7.004
_cell_angle_alpha 90.00
_cell_angle_beta 90.00
_cell_angle_gamma 90.00
loop_
_space_group_symop_operation_xyz
'x,y,z'
'-y,x,z'
'-x,-y,z'
'y,-x,z'
'-x,y,z'
'y,x,z'
'x,-y,z'
'-y,-x,z'
loop_
_atom_site_label
_atom_site_fract_x
_atom_site_fract_y
_atom_site_fract_z
Sr1 0.000 0.000 0.000
Cr1 0.500 0.500 0.330
Hg1 0.000 0.000 0.471
Hg2 0.500 0.500 0.729
# Calculated formation energy ... -123 meV per atom

***

7.
# SrCrHg2 (SCAN, PBEsol geometry)
data_SrCrHg2
_space_group_name_H-M_alt 'F -4 3 m'
_space_group_IT_number 216
_space_group_name_Hall 'F -4 2 3'
_cell_length_a 7.170
_cell_length_b 7.170
_cell_length_c 7.170
_cell_angle_alpha 90.00
_cell_angle_beta 90.00
_cell_angle_gamma 90.00
loop_
_atom_site_label
_atom_site_fract_x
_atom_site_fract_y
_atom_site_fract_z
Sr1 0.000 0.000 0.000
Cr1 0.250 0.250 0.250
Hg1 0.000 0.000 0.500
Hg2 0.250 0.250 0.750
# Calculated formation energy ... -89 meV per atom

***

8.
# Ta2CrHg (SCAN, PBEsol geometry)
data_Ta2CrHg
_space_group_name_H-M_alt 'C 1 2/m 1'
_space_group_IT_number 12
_cell_length_a 9.503
_cell_length_b 2.805
_cell_length_c 5.045
_cell_angle_alpha 90.00
_cell_angle_beta 96.41
_cell_angle_gamma 90.00
loop_
_space_group_symop_operation_xyz
'x,y,z'
'-x,-y,-z'
'-x,y,-z'
'x,-y,z'
'x+1/2,y+1/2,z'
'-x+1/2,-y+1/2,-z'
'-x+1/2,y+1/2,-z'
'x+1/2,-y+1/2,z'
loop_
_atom_site_label
_atom_site_fract_x
_atom_site_fract_y
_atom_site_fract_z
Ta1 0.246 0.000 0.259
Cr1 0.000 0.000 0.500
Hg1 0.000 0.500 0.000
# Calculated formation energy ... 455 meV per atom

***

9.
# TaCrHg2 (SCAN, PBEsol geometry)
data_TaCrHg2
_space_group_name_H-M_alt 'P 4 m m'
_space_group_IT_number 99
_cell_length_a 3.209
_cell_length_b 3.209
_cell_length_c 6.893
_cell_angle_alpha 90.00
_cell_angle_beta 90.00
_cell_angle_gamma 90.00
loop_
_space_group_symop_operation_xyz
'x,y,z'
'-y,x,z'
'-x,-y,z'
'y,-x,z'
'-x,y,z'
'y,x,z'
'x,-y,z'
'-y,-x,z'
loop_
_atom_site_label
_atom_site_fract_x
_atom_site_fract_y
_atom_site_fract_z
Ta1 0.000 0.000 0.000
Cr1 0.500 0.500 0.163
Hg1 0.000 0.000 0.424
Hg2 0.500 0.500 0.717
# Relative energy among the computed polymorphs ... 0.0 kJ/mol of formula units
# Calculated formation energy ... 342 meV per atom

***

10.
# TaCrHg2 (SCAN, PBEsol geometry)
data_TaCrHg2
_space_group_name_H-M_alt 'F -4 3 m'
_space_group_IT_number 216
_space_group_name_Hall 'F -4 2 3'
_cell_length_a 6.564
_cell_length_b 6.564
_cell_length_c 6.564
_cell_angle_alpha 90.00
_cell_angle_beta 90.00
_cell_angle_gamma 90.00
loop_
_atom_site_label
_atom_site_fract_x
_atom_site_fract_y
_atom_site_fract_z
Ta1 0.000 0.000 0.000
Cr1 0.250 0.250 0.750
Hg1 0.000 0.000 0.500
Hg2 0.250 0.250 0.250
# Relative energy among the computed polymorphs ... 117.1 kJ/mol of formula units
# Calculated formation energy ... 646 meV per atom

***

11.
# TaCrHg (SCAN, PBEsol geometry)
data_TaCrHg
_space_group_name_H-M_alt 'I 4 m m'
_space_group_IT_number 107
_space_group_name_Hall 'I 4 -2'
_cell_length_a 3.235
_cell_length_b 3.235
_cell_length_c 9.407
_cell_angle_alpha 90.00
_cell_angle_beta 90.00
_cell_angle_gamma 90.00
loop_
_atom_site_label
_atom_site_fract_x
_atom_site_fract_y
_atom_site_fract_z
Ta1 0.000 0.000 0.000
Cr1 0.000 0.000 0.625
Hg1 0.000 0.000 0.306
# Calculated formation energy ... 292 meV per atom

***

12.
# CrTc2Hg (SCAN, PBEsol geometry)
data_CrTc2Hg
_space_group_name_H-M_alt 'P m m m'
_space_group_IT_number 47
_cell_length_a 2.806
_cell_length_b 3.725
_cell_length_c 5.684
_cell_angle_alpha 90.00
_cell_angle_beta 90.00
_cell_angle_gamma 90.00
loop_
_space_group_symop_operation_xyz
'x,y,z'
'-x,-y,-z'
'-x,-y,z'
'x,y,-z'
'x,-y,-z'
'-x,y,z'
'-x,y,-z'
'x,-y,z'
loop_
_atom_site_label
_atom_site_fract_x
_atom_site_fract_y
_atom_site_fract_z
Cr1 0.000 0.000 0.000
Tc1 0.500 0.500 0.203
Hg1 0.000 0.000 0.500
# Calculated formation energy ... 371 meV per atom

***

13.
# Cr2TcHg (SCAN, PBEsol geometry)
data_Cr2TcHg
_space_group_name_H-M_alt 'P 4/m m m'
_space_group_IT_number 123
_space_group_name_Hall '-P 4 2'
_cell_length_a 2.987
_cell_length_b 2.987
_cell_length_c 6.519
_cell_angle_alpha 90.00
_cell_angle_beta 90.00
_cell_angle_gamma 90.00
loop_
_atom_site_label
_atom_site_fract_x
_atom_site_fract_y
_atom_site_fract_z
Cr1 0.000 0.000 0.211
Tc1 0.500 0.500 0.000
Hg1 0.500 0.500 0.500
# Calculated formation energy ... 228 meV per atom

***

14.
# CrTc2Hg (SCAN, PBEsol geometry)
data_CrTc2Hg
_space_group_name_H-M_alt 'C m m m'
_space_group_IT_number 65
_space_group_name_Hall '-C 2 2'
_cell_length_a 5.381
_cell_length_b 7.654
_cell_length_c 2.852
_cell_angle_alpha 90.00
_cell_angle_beta 90.00
_cell_angle_gamma 90.00
loop_
_atom_site_label
_atom_site_fract_x
_atom_site_fract_y
_atom_site_fract_z
Cr1 0.000 0.000 0.000
Tc1 0.250 0.250 0.500
Hg1 0.000 0.500 0.000
# Calculated formation energy ... 537 meV per atom

***

15.
# CrTc2Hg (SCAN, PBEsol geometry)
data_CrTc2Hg
_space_group_name_H-M_alt 'P m m 2'
_space_group_IT_number 25
_cell_length_a 2.822
_cell_length_b 3.784
_cell_length_c 5.606
_cell_angle_alpha 90.00
_cell_angle_beta 90.00
_cell_angle_gamma 90.00
loop_
_space_group_symop_operation_xyz
'x,y,z'
'-x,-y,z'
'-x,y,z'
'x,-y,z'
loop_
_atom_site_label
_atom_site_fract_x
_atom_site_fract_y
_atom_site_fract_z
Cr1 0.000 0.000 0.000
Tc1 0.000 0.000 0.597
Tc2 0.500 0.500 0.802
Hg1 0.500 0.500 0.294
# Calculated formation energy ... 349 meV per atom

***

no.,electronic total energy (eV/atom)
1,-49.553
2,-30.847
3,-40.256
4,-35.843
5,-28.444
6,-44.370
7,-44.337
8,-54.474
9,-54.983
10,-54.679
11,-50.753
12,-38.797
13,-34.771
14,-38.630
15,-38.819